Entry 1:
{"formula": "TiIr2Au", "functional": "PBE-GGA", "state": "relaxed", "lattice_angstrom": [[0.0000, 3.1537, 3.1537], [3.1537, 0.0000, 3.1537], [3.1537, 3.1537, 0.0000]], "species": ["Ir", "Ir", "Au", "Ti"], "fractional_positions": [[0.2500, 0.2500, 0.2500], [0.7500, 0.7500, 0.7500], [0.5000, 0.5000, 0.5000], [0.0000, 0.0000, 0.0000]], "ef_kj_per_mol_fu": -74, "e_tot_ev_per_atom": -7.416, "m_tot_mub_per_atom": 0.000, "crystal_system": "cubic"}

***

Entry 2:
{"formula": "Tb3HoEr2Sb6", "functional": "PBE-GGA", "state": "relaxed", "lattice_angstrom": [[4.3779, 0.0000, 0.0000], [0.0000, 8.7507, 0.3185], [-2.1889, -2.5139, 9.2037]], "species": ["Tb", "Tb", "Tb", "Ho", "Er", "Er", "Sb", "Sb", "Sb", "Sb", "Sb", "Sb"], "fractional_positions": [[0.5000, 0.5000, 0.0000], [0.8335, 0.1669, 0.6669], [0.1665, 0.8331, 0.3331], [0.5000, 0.0000, 0.0000], [0.8333, 0.6668, 0.6666], [0.1667, 0.3332, 0.3334], [0.3338, 0.9147, 0.6676], [0.6674, 0.5813, 0.3348], [0.6662, 0.0853, 0.3324], [0.0008, 0.2489, 0.0016], [0.9992, 0.7511, 0.9984], [0.3326, 0.4187, 0.6652]], "e_tot_ev_per_atom": -5.485, "m_tot_mub_per_atom": 0.000, "e_form_raw_mev_per_atom": -1125, "crystal_system": "monoclinic"}